1.
Ca2AlTl2 after structural relaxation, computed with PBE.

Computed properties:
formation energy = 41 meV/atom
spin magnetization = 0.00 μB/cell
space group = I4/mmm
excess energy over the best structure of this formula in the dataset = 254 meV/atom

Unit cell a=4.2011 b=4.2011 c=9.6256 alpha=77.40 beta=77.40 gamma=90.00
Fractional positions:
Al1 0.0000 0.0000 0.0000
Tl1 0.2500 0.7500 0.5000
Tl2 0.7500 0.2500 0.5000
Ca1 0.5944 0.5944 0.8113
Ca2 0.4056 0.4056 0.1887

---

2.
CaAl2Tl after structural relaxation, computed with PBE.

Computed properties:
formation energy = -41 meV/atom
spin magnetization = 0.00 μB/cell
space group = Imm2
excess energy over the best structure of this formula in the dataset = 36 meV/atom

Unit cell a=5.7321 b=5.7321 c=5.7321 alpha=135.62 beta=132.36 gamma=67.14
Fractional positions:
Ca1 0.5160 0.5160 0.0000
Al1 0.7729 0.2729 0.5000
Al2 0.9644 0.9644 0.0000
Tl1 0.2467 0.7467 0.5000

---

3.
CaAlTl2 after structural relaxation, computed with PBE.

Computed properties:
formation energy = 48 meV/atom
spin magnetization = 0.00 μB/cell
space group = R-3m

Unit cell a=10.0579 b=10.0579 c=10.0579 alpha=20.55 beta=20.55 gamma=20.55
Fractional positions:
Ca1 0.7500 0.7500 0.7500
Al1 0.2500 0.2500 0.2500
Tl1 0.5048 0.5048 0.5048
Tl2 0.9952 0.9952 0.9952

---

4.
Ca2AlTl2 after structural relaxation, computed with PBE.

Computed properties:
formation energy = -213 meV/atom
spin magnetization = 0.00 μB/cell
space group = P4/mbm
excess energy over the best structure of this formula in the dataset = 0 meV/atom

Unit cell a=7.5560 b=7.5560 c=4.9731 alpha=90.00 beta=90.00 gamma=90.00
Fractional positions:
Tl1 0.1424 0.3576 0.0000
Tl2 0.6424 0.1424 0.0000
Tl3 0.3576 0.8576 0.0000
Tl4 0.8576 0.6424 0.0000
Al1 0.0000 0.0000 0.0000
Al2 0.5000 0.5000 0.0000
Ca1 0.8305 0.3305 0.5000
Ca2 0.1695 0.6695 0.5000
Ca3 0.3305 0.1695 0.5000
Ca4 0.6695 0.8305 0.5000

---

5.
Ca2AlTl after structural relaxation, computed with PBE.

Computed properties:
formation energy = -298 meV/atom
spin magnetization = 0.00 μB/cell
space group = Fm-3m
excess energy over the best structure of this formula in the dataset = 2 meV/atom

Unit cell a=5.3836 b=5.3836 c=5.3836 alpha=60.00 beta=60.00 gamma=60.00
Fractional positions:
Ca1 0.2500 0.2500 0.2500
Ca2 0.7500 0.7500 0.7500
Al1 0.0000 0.0000 0.0000
Tl1 0.5000 0.5000 0.5000

---

6.
CaAl2Tl after structural relaxation, computed with PBE.

Computed properties:
formation energy = 33 meV/atom
spin magnetization = 0.00 μB/cell
space group = P4/mmm
excess energy over the best structure of this formula in the dataset = 110 meV/atom

Unit cell a=3.7975 b=3.7975 c=6.8755 alpha=90.00 beta=90.00 gamma=90.00
Fractional positions:
Al1 0.0000 0.0000 0.9539
Al2 0.0000 0.0000 0.5461
Tl1 0.5000 0.5000 0.7500
Ca1 0.5000 0.5000 0.2500

---

7.
Ca2AlTl after structural relaxation, computed with PBE.

Computed properties:
formation energy = -151 meV/atom
spin magnetization = 0.00 μB/cell
space group = I-4m2
excess energy over the best structure of this formula in the dataset = 150 meV/atom

Unit cell a=6.0261 b=6.0261 c=6.0261 alpha=133.77 beta=133.77 gamma=67.45
Fractional positions:
Tl1 0.5000 0.5000 0.0000
Ca1 0.2500 0.7500 0.5000
Ca2 0.0000 0.0000 0.0000
Al1 0.7500 0.2500 0.5000

---

8.
Ca2AlTl after structural relaxation, computed with PBE.

Computed properties:
formation energy = -79 meV/atom
spin magnetization = 0.00 μB/cell
space group = R3m
excess energy over the best structure of this formula in the dataset = 221 meV/atom

Unit cell a=7.7593 b=7.7593 c=7.7593 alpha=34.51 beta=34.51 gamma=34.51
Fractional positions:
Tl1 0.4726 0.4726 0.4726
Ca1 0.0300 0.0300 0.0300
Ca2 0.2199 0.2199 0.2199
Al1 0.7775 0.7775 0.7775